(1)
Computed, not measured: a relaxed LaScTa2 crystal at the GGA-PBE level of DFT.

Geometry as POSCAR:
```
LaScTa2
1.0
0.000 3.530 3.530
3.530 0.000 3.530
3.530 3.530 0.000
La Sc Ta
1 1 2
Cartesian
0.000 0.000 0.000 La
1.765 1.765 1.765 Sc
3.530 3.530 3.530 Ta
5.295 5.295 5.295 Ta
```

Properties
Its total energy is -33.260 eV per cell. Its formation energy is 0.43 eV per atom. As for the calculated volume: 87.95 Å³/cell. Its energy relative to the lowest polymorph listed for this composition is 219 meV per atom. As for the crystal system: cubic. For the density of states at the Fermi level, the calculation gives 1.61 states/eV per atom.



(2)
Computed, not measured: a relaxed LiAg3Pt crystal at the GGA-PBE level of DFT.

Geometry as POSCAR:
```
LiAg3Pt
1.0
7.363 -2.048 0.000
7.363 2.048 0.000
-1.300 0.000 5.513
Li Ag Pt
2 6 2
Cartesian
1.600 0.000 0.230 Li
11.826 0.000 5.283 Li
0.783 0.000 3.034 Ag
3.610 0.000 3.624 Ag
6.985 0.000 1.336 Ag
6.441 0.000 4.178 Ag
9.816 0.000 1.890 Ag
12.643 0.000 2.479 Ag
4.197 0.000 0.802 Pt
9.229 0.000 4.711 Pt
```

Properties
Its total energy is -34.453 eV per cell. Its formation energy is -0.14 eV per atom. As for the calculated volume: 166.25 Å³/cell. Its energy relative to the lowest polymorph listed for this composition is 0 meV per atom. As for the crystal system: monoclinic. For the density of states at the Fermi level, the calculation gives 0.26 states/eV per atom.



(3)
Computed, not measured: a relaxed CaI2Br crystal at the GGA-PBE level of DFT.

Geometry as POSCAR:
```
CaI2Br
1.0
-4.997 4.997 3.037
4.997 -4.997 3.037
4.997 4.997 -3.037
Ca I Br
2 4 2
Cartesian
0.000 0.000 0.000 Ca
0.000 4.997 1.518 Ca
7.495 2.031 -0.759 I
2.031 2.498 0.759 I
-2.498 2.966 2.278 I
2.966 2.498 3.796 I
4.997 0.000 1.518 Br
0.000 0.000 3.037 Br
```

Properties
Its total energy is -22.160 eV per cell. The energy relative to the elements, uncorrected comes out at -1.08 eV per atom. As for the calculated volume: 303.28 Å³/cell. Its energy relative to the lowest polymorph listed for this composition is 0 meV per atom. As for the crystal system: tetragonal. For the density of states at the Fermi level, the calculation gives 0.36 states/eV per atom.



(4)
Computed, not measured: a relaxed La2TaCrN5 crystal at the GGA-PBE level of DFT.

Geometry as POSCAR:
```
La2TaCrN5
1.0
1.660 -7.193 0.000
1.660 7.193 0.000
0.000 0.000 10.421
La Ta Cr N
4 2 2 10
Cartesian
1.660 5.499 5.210 La
1.660 5.286 1.369 La
1.660 -5.286 6.579 La
1.660 -5.499 0.000 La
1.660 4.210 8.699 Ta
1.660 -4.210 3.488 Ta
1.660 0.733 2.662 Cr
1.660 -0.733 7.872 Cr
1.660 6.613 8.665 N
1.660 2.938 4.841 N
1.660 2.562 2.053 N
1.660 2.303 8.514 N
1.660 0.008 6.280 N
1.660 -0.008 1.070 N
1.660 -2.303 3.304 N
1.660 -2.562 7.264 N
1.660 -2.938 10.052 N
1.660 -6.613 3.454 N
```

Properties
Its total energy is -166.115 eV per cell. The energy relative to the elements, uncorrected comes out at -1.12 eV per atom. As for the calculated volume: 248.92 Å³/cell. As for the crystal system: orthorhombic. For the density of states at the Fermi level, the calculation gives 0.26 states/eV per atom.



(5)
Computed, not measured: a relaxed AcEu3Co crystal at the GGA-PBE level of DFT.

Geometry as POSCAR:
```
AcEu3Co
1.0
5.623 0.000 0.000
0.000 5.623 0.000
0.000 0.000 5.623
Ac Eu Co
1 3 1
Cartesian
0.000 0.000 0.000 Ac
0.000 2.812 2.812 Eu
2.812 0.000 2.812 Eu
2.812 2.812 0.000 Eu
2.812 2.812 2.812 Co
```

Properties
Its total energy is -41.354 eV per cell. Its formation energy is 0.14 eV per atom. As for the calculated volume: 177.82 Å³/cell. As for the crystal system: cubic. For the density of states at the Fermi level, the calculation gives 1.04 states/eV per atom.



(6)
Computed, not measured: a relaxed P2OsSe crystal at the GGA-PBE level of DFT.

Geometry as POSCAR:
```
P2OsSe
1.0
3.640 -1.811 0.000
3.640 1.811 0.000
-1.970 0.000 5.926
P Os Se
2 1 1
Cartesian
0.000 0.000 0.000 P
-0.435 0.000 4.570 P
1.793 0.000 3.997 Os
4.178 0.000 2.516 Se
```

Properties
Its total energy is -24.970 eV per cell. The energy relative to the elements, uncorrected comes out at 0.14 eV per atom. As for the calculated volume: 78.15 Å³/cell. As for the crystal system: monoclinic. For the density of states at the Fermi level, the calculation gives 0.09 states/eV per atom.



(7)
Computed, not measured: a relaxed NaTiSe3 crystal at the GGA-PBE level of DFT.

Geometry as POSCAR:
```
NaTiSe3
1.0
5.008 0.000 0.000
0.000 5.008 0.000
0.000 0.000 5.008
Na Ti Se
1 1 3
Cartesian
0.000 0.000 0.000 Na
2.504 2.504 2.504 Ti
0.000 2.504 2.504 Se
2.504 0.000 2.504 Se
2.504 2.504 0.000 Se
```

Properties
Its total energy is -23.621 eV per cell. The energy relative to the elements, uncorrected comes out at -0.79 eV per atom. As for the calculated volume: 125.63 Å³/cell. Its energy relative to the lowest polymorph listed for this composition is 153 meV per atom. As for the crystal system: cubic. For the density of states at the Fermi level, the calculation gives 0.37 states/eV per atom.



(8)
Computed, not measured: a relaxed TbHfBi2 crystal at the GGA-PBE level of DFT.

Geometry as POSCAR:
```
TbHfBi2
1.0
1.728 0.998 11.300
-1.728 0.998 11.300
0.000 -1.996 11.300
Tb Hf Bi
1 1 2
Cartesian
0.000 0.000 0.000 Tb
0.000 0.000 16.950 Hf
0.000 0.000 3.236 Bi
0.000 0.000 30.664 Bi
```

Properties
Its total energy is -22.274 eV per cell. Its formation energy is 0.02 eV per atom. As for the calculated volume: 116.93 Å³/cell. As for the crystal system: trigonal. For the density of states at the Fermi level, the calculation gives 0.87 states/eV per atom.



(9)
Computed, not measured: a relaxed ScAl2Co crystal at the GGA-PBE level of DFT.

Geometry as POSCAR:
```
ScAl2Co
1.0
1.485 0.858 8.567
-1.485 0.858 8.567
0.000 -1.715 8.567
Sc Al Co
1 2 1
Cartesian
0.000 0.000 0.000 Sc
0.000 0.000 13.412 Al
0.000 0.000 19.664 Al
0.000 0.000 6.641 Co
```

Properties
Its total energy is -21.146 eV per cell. Its formation energy is -0.06 eV per atom. As for the calculated volume: 65.47 Å³/cell. As for the crystal system: trigonal. For the density of states at the Fermi level, the calculation gives 0.92 states/eV per atom.



(10)
Computed, not measured: a relaxed K2BaLiHf crystal at the GGA-PBE level of DFT.

Geometry as POSCAR:
```
K2BaLiHf
1.0
6.858 0.000 0.000
0.000 6.858 0.000
0.000 0.000 5.730
K Ba Li Hf
2 1 1 1
Cartesian
0.000 3.429 0.000 K
3.429 0.000 0.000 K
0.000 0.000 0.000 Ba
3.429 3.429 2.865 Li
0.000 0.000 2.865 Hf
```

Properties
Its total energy is -9.691 eV per cell. Its formation energy is 1.26 eV per atom. As for the calculated volume: 269.46 Å³/cell. As for the crystal system: tetragonal. For the density of states at the Fermi level, the calculation gives 1.38 states/eV per atom.



(11)
Computed, not measured: a relaxed ZnRuC3 crystal at the GGA-PBE level of DFT.

Geometry as POSCAR:
```
ZnRuC3
1.0
3.829 0.000 0.000
0.000 3.829 0.000
0.000 0.000 3.829
Zn Ru C
1 1 3
Cartesian
0.000 0.000 0.000 Zn
1.915 1.915 1.915 Ru
0.000 0.000 1.915 C
0.000 1.915 0.000 C
1.915 0.000 0.000 C
```

Properties
Its total energy is -23.260 eV per cell. Its formation energy is 2.99 eV per atom. As for the calculated volume: 56.16 Å³/cell. Its energy relative to the lowest polymorph listed for this composition is 912 meV per atom. As for the crystal system: cubic. For the density of states at the Fermi level, the calculation gives 0.43 states/eV per atom.



(12)
Computed, not measured: a relaxed CeTe2O8 crystal at the GGA-PBE level of DFT.

Geometry as POSCAR:
```
CeTe2O8
1.0
-2.662 2.662 5.413
2.662 -2.662 5.413
2.662 2.662 -5.413
Ce Te O
1 2 8
Cartesian
0.000 0.000 0.000 Ce
2.662 0.000 2.707 Te
0.000 2.662 2.707 Te
3.703 0.959 -1.436 O
0.959 1.622 -1.436 O
1.622 0.959 1.436 O
1.703 -1.040 6.849 O
1.703 1.040 3.978 O
-1.040 1.703 3.978 O
0.959 3.703 1.436 O
1.040 1.703 6.849 O
```

Properties
Its total energy is -65.068 eV per cell. The energy relative to the elements, uncorrected comes out at -1.20 eV per atom. As for the calculated volume: 153.47 Å³/cell. As for the crystal system: tetragonal.